Here is crystalline Ho3Sn2Pd6 at its relaxed geometry from Alexandria. Energies are from GGA-PBE.

The structure belongs to space group Im-3m (No. 229); the cell edges are 9.639, 9.639 and 9.639 Å and the angles 90.00°, 90.00° and 90.00°. Symmetry generates all atoms from Ho at (0.000, 0.000, 0.289), Sn at (0.250, 0.250, 0.250) and Pd at (0.000, 0.343, 0.343).

The calculation puts the formation enthalpy at 0 K at -0.790 eV/atom. For the size of the total moment, the calculation gives 0.00 μB/cell. The density of states at the Fermi level is 6.20 states/eV/f.u. As for the crystal system: cubic.